1.
## SrY2Pd2 (PBE)

Data for an optimized crystal structure of SrY2Pd2.

Values from the calculation:
Crystal system = tetragonal
Density = 6.17 g/cm³

Lattice parameters (Å, degrees): 8.193 8.193 3.833 90.00 90.00 90.00
Fractional coordinates of all 10 atoms:
Sr: 0.000 0.000 0.000
Sr: 0.500 0.500 0.000
Y: 0.152 0.348 0.500
Y: 0.348 0.848 0.500
Y: 0.652 0.152 0.500
Y: 0.848 0.652 0.500
Pd: 0.132 0.632 0.000
Pd: 0.368 0.132 0.000
Pd: 0.632 0.868 0.000
Pd: 0.868 0.368 0.000

***

2.
## Sr2YPd2 (PBE)

Data for an optimized crystal structure of Sr2YPd2.

Values from the calculation:
Crystal system = tetragonal
Density = 5.68 g/cm³

Lattice parameters (Å, degrees): 7.705 7.705 4.695 90.00 90.00 90.00
Fractional coordinates of all 10 atoms:
Sr: 0.167 0.333 0.000
Sr: 0.333 0.833 0.000
Sr: 0.667 0.167 0.000
Sr: 0.833 0.667 0.000
Y: 0.000 0.000 0.500
Y: 0.500 0.500 0.500
Pd: 0.131 0.631 0.500
Pd: 0.369 0.131 0.500
Pd: 0.631 0.869 0.500
Pd: 0.869 0.369 0.500

***

3.
## SrZnPd2 (PBE)

Data for an optimized crystal structure of SrZnPd2.

Values from the calculation:
Crystal system = cubic
Density = 7.53 g/cm³

Lattice parameters (Å, degrees): 6.861 6.861 6.861 90.00 90.00 90.00
Fractional coordinates of all 16 atoms:
Sr: 0.000 0.000 0.000
Sr: 0.000 0.500 0.500
Sr: 0.500 0.000 0.500
Sr: 0.500 0.500 0.000
Zn: 0.250 0.250 0.250
Zn: 0.250 0.750 0.750
Zn: 0.750 0.250 0.750
Zn: 0.750 0.750 0.250
Pd: 0.000 0.000 0.500
Pd: 0.000 0.500 0.000
Pd: 0.250 0.250 0.750
Pd: 0.250 0.750 0.250
Pd: 0.500 0.000 0.000
Pd: 0.500 0.500 0.500
Pd: 0.750 0.250 0.250
Pd: 0.750 0.750 0.750

***

4.
## Sr2ZnPd (PBE)

Data for an optimized crystal structure of Sr2ZnPd.

Values from the calculation:
Crystal system = cubic
Density = 5.81 g/cm³

Lattice parameters (Å, degrees): 7.350 7.350 7.350 90.00 90.00 90.00
Fractional coordinates of all 16 atoms:
Sr: 0.000 0.000 0.000
Sr: 0.000 0.500 0.500
Sr: 0.250 0.250 0.250
Sr: 0.250 0.750 0.750
Sr: 0.500 0.000 0.500
Sr: 0.500 0.500 0.000
Sr: 0.750 0.250 0.750
Sr: 0.750 0.750 0.250
Zn: 0.250 0.250 0.750
Zn: 0.250 0.750 0.250
Zn: 0.750 0.250 0.250
Zn: 0.750 0.750 0.750
Pd: 0.000 0.000 0.500
Pd: 0.000 0.500 0.000
Pd: 0.500 0.000 0.000
Pd: 0.500 0.500 0.500

***

5.
## SrZn2Pd2 (PBE)

Data for an optimized crystal structure of SrZn2Pd2.

Values from the calculation:
Crystal system = tetragonal
Density = 7.04 g/cm³

Lattice parameters (Å, degrees): 4.270 4.270 11.160 90.00 90.00 90.00
Fractional coordinates of all 10 atoms:
Sr: 0.000 0.000 0.000
Sr: 0.500 0.500 0.500
Zn: 0.000 0.500 0.250
Zn: 0.000 0.500 0.750
Zn: 0.500 0.000 0.250
Zn: 0.500 0.000 0.750
Pd: 0.000 0.000 0.379
Pd: 0.000 0.000 0.621
Pd: 0.500 0.500 0.121
Pd: 0.500 0.500 0.879

***

6.
## SrZnPd (PBE)

Data for an optimized crystal structure of SrZnPd.

Values from the calculation:
Crystal system = cubic
Density = 5.49 g/cm³

Lattice parameters (Å, degrees): 6.795 6.795 6.795 90.00 90.00 90.00
Fractional coordinates of all 12 atoms:
Sr: 0.000 0.000 0.000
Sr: 0.000 0.500 0.500
Sr: 0.500 0.000 0.500
Sr: 0.500 0.500 0.000
Zn: 0.000 0.000 0.500
Zn: 0.000 0.500 0.000
Zn: 0.500 0.000 0.000
Zn: 0.500 0.500 0.500
Pd: 0.250 0.250 0.250
Pd: 0.250 0.750 0.750
Pd: 0.750 0.250 0.750
Pd: 0.750 0.750 0.250

***

7.
## SrZnPd (PBE)

Data for an optimized crystal structure of SrZnPd.

Values from the calculation:
Crystal system = cubic
Density = 4.90 g/cm³

Lattice parameters (Å, degrees): 7.056 7.056 7.056 90.00 90.00 90.00
Fractional coordinates of all 12 atoms:
Sr: 0.000 0.000 0.000
Sr: 0.000 0.500 0.500
Sr: 0.500 0.000 0.500
Sr: 0.500 0.500 0.000
Zn: 0.250 0.250 0.250
Zn: 0.250 0.750 0.750
Zn: 0.750 0.250 0.750
Zn: 0.750 0.750 0.250
Pd: 0.250 0.250 0.750
Pd: 0.250 0.750 0.250
Pd: 0.750 0.250 0.250
Pd: 0.750 0.750 0.750

***

8.
## SrZnPd (PBE)

Data for an optimized crystal structure of SrZnPd.

Values from the calculation:
Crystal system = tetragonal
Density = 6.35 g/cm³

Lattice parameters (Å, degrees): 3.563 3.563 10.693 90.00 90.00 90.00
Fractional coordinates of all 6 atoms:
Sr: 0.000 0.000 0.000
Sr: 0.500 0.500 0.500
Zn: 0.000 0.000 0.288
Zn: 0.500 0.500 0.788
Pd: 0.000 0.000 0.704
Pd: 0.500 0.500 0.204

***

9.
## Sr2ZnPd (PBE)

Data for an optimized crystal structure of Sr2ZnPd.

Values from the calculation:
Crystal system = monoclinic
Density = 4.31 g/cm³

Lattice parameters (Å, degrees): 7.718 4.457 8.185 90.00 108.26 90.00
Fractional coordinates of all 8 atoms:
Sr: 0.000 0.000 0.000
Sr: 0.173 0.000 0.522
Sr: 0.500 0.500 0.000
Sr: 0.673 0.500 0.522
Zn: 0.420 0.000 0.260
Zn: 0.920 0.500 0.260
Pd: 0.254 0.500 0.262
Pd: 0.754 0.000 0.262

***

10.
## SrZn2Pd3 (PBE)

Data for an optimized crystal structure of SrZn2Pd3.

Values from the calculation:
Crystal system = tetragonal
Density = 8.09 g/cm³

Lattice parameters (Å, degrees): 3.377 3.377 9.676 90.00 90.00 90.00
Fractional coordinates of all 6 atoms:
Sr: 0.000 0.000 0.000
Zn: 0.000 0.000 0.357
Zn: 0.500 0.500 0.757
Pd: 0.000 0.000 0.655
Pd: 0.500 0.500 0.207
Pd: 0.500 0.500 0.487

***

11.
## SrZnPd (PBE)

Data for an optimized crystal structure of SrZnPd.

Values from the calculation:
Crystal system = tetragonal
Density = 6.35 g/cm³

Lattice parameters (Å, degrees): 3.504 3.504 11.045 90.00 90.00 90.00
Fractional coordinates of all 6 atoms:
Sr: 0.000 0.000 0.200
Sr: 0.000 0.000 0.800
Zn: 0.000 0.000 0.500
Zn: 0.500 0.500 0.000
Pd: 0.500 0.500 0.378
Pd: 0.500 0.500 0.622

***

12.
## SrZnPd (PBE)

Data for an optimized crystal structure of SrZnPd.

Values from the calculation:
Crystal system = tetragonal
Density = 5.91 g/cm³

Lattice parameters (Å, degrees): 3.588 3.588 11.322 90.00 90.00 90.00
Fractional coordinates of all 6 atoms:
Sr: 0.250 0.250 0.157
Sr: 0.750 0.750 0.843
Zn: 0.250 0.250 0.649
Zn: 0.750 0.750 0.351
Pd: 0.250 0.250 0.422
Pd: 0.750 0.750 0.578

***

no.,raw total energy (eV per cell)
1,-56.0
2,-45.7
3,-57.3
4,-40.9
5,-34.6
6,-36.8
7,-31.1
8,-18.7
9,-23.4
10,-22.0
11,-18.1
12,-17.9